DFT (PBE) results for Tl2CdSn after structural relaxation.

Cell: 7.1740 7.1740 6.4081 Å, 115.78 115.78 102.28°
With the nearest neighbours (Å) after each atom.
Fractional positions:
Tl 0.0009 0.9991 0.5000  3 Tl 3.20-3.58, 1 Cd 3.58
Tl 0.0070 0.5040 0.0020  2 Cd 3.20-3.21, 3 Tl 3.24-3.58, 2 Sn 3.46-3.52
Tl 0.5040 0.0070 0.5020  2 Cd 3.20-3.21, 3 Tl 3.24-3.58, 2 Sn 3.46-3.52
Tl 0.9991 0.0009 0.0000  3 Tl 3.20-3.58, 1 Cd 3.58
Cd 0.4973 0.9984 0.9950  2 Sn 2.98, 2 Tl 3.20-3.21, 2 Cd 3.24
Cd 0.9984 0.4973 0.4950  2 Sn 2.98, 2 Tl 3.20-3.21, 2 Cd 3.24
Sn 0.4739 0.5263 0.7517  2 Cd 2.98, 2 Sn 3.26
Sn 0.5263 0.4739 0.2517  2 Cd 2.98, 2 Sn 3.26

Energy of formation ... 22 kJ/mol of formula units
Space group ... No. 9

---

DFT (PBE) results for Tl2CdSn after structural relaxation.

Cell: 5.0955 6.4293 7.8047 Å, 90.05 90.09 111.87°
With the nearest neighbours (Å) after each atom.
Fractional positions:
Tl 0.1536 0.3050 0.4073  3 Sn 3.25-3.33, 2 Cd 3.36-3.60, 2 Tl 3.52-3.55
Tl 0.3412 0.6887 0.9067  3 Cd 3.27-3.33, 2 Sn 3.42-3.54, 2 Tl 3.52-3.55
Tl 0.6588 0.3113 0.0933  3 Cd 3.27-3.33, 2 Sn 3.42-3.54, 2 Tl 3.52-3.55
Tl 0.8464 0.6950 0.5927  3 Sn 3.25-3.33, 2 Cd 3.36-3.60, 2 Tl 3.52-3.55
Cd 0.0781 0.1460 0.8514  1 Cd 2.90, 2 Sn 2.97-2.98
Cd 0.9219 0.8540 0.1486  1 Cd 2.90, 2 Sn 2.97-2.98
Sn 0.4177 0.8433 0.3452  2 Cd 2.97-2.98, 1 Sn 3.05, 3 Tl 3.25-3.33
Sn 0.5823 0.1567 0.6548  2 Cd 2.97-2.98, 1 Sn 3.05, 3 Tl 3.25-3.33

Energy of formation ... 9 kJ/mol of formula units
Space group ... No. 2

---

DFT (PBE) results for TlCdSn after structural relaxation.

Cell: 5.4693 5.5880 6.3685 Å, 69.78 68.66 75.43°
With the nearest neighbours (Å) after each atom.
Fractional positions:
Tl 0.0000 0.0000 0.0000  3 Cd 3.26-3.55, 2 Tl 3.30-3.52, 4 Sn 3.31-3.44
Tl 0.4535 0.3809 0.8182  4 Cd 3.25-3.50, 3 Sn 3.27-3.53, 2 Tl 3.30-3.52
Cd 0.9495 0.7329 0.6389  4 Sn 3.11-3.43, 2 Cd 3.12-3.32, 3 Tl 3.26-3.38
Cd 0.9741 0.3560 0.3647  3 Sn 3.00-3.32, 2 Cd 3.12-3.32, 1 Tl 3.25
Sn 0.4673 0.0225 0.4597  3 Cd 3.00-3.26, 2 Sn 3.12-3.31, 1 Tl 3.31
Sn 0.5084 0.6397 0.1854  2 Cd 3.02-3.32, 2 Sn 3.12-3.31, 3 Tl 3.27-3.38

Energy of formation ... 15 kJ/mol of formula units
Space group ... No. 1

---

DFT (PBE) results for Tl3Cd3Sn after structural relaxation.

Cell: 8.1385 8.1385 8.1385 Å, 90.00 90.00 90.00°
With the nearest neighbours (Å) after each atom.
Fractional positions:
Tl 0.0000 0.2500 0.5000  4 Cd 2.88
Tl 0.0000 0.7500 0.5000  4 Cd 2.88
Tl 0.2500 0.5000 0.0000  4 Cd 2.88
Tl 0.5000 0.0000 0.2500  4 Cd 2.88
Tl 0.5000 0.0000 0.7500  4 Cd 2.88
Tl 0.7500 0.5000 0.0000  4 Cd 2.88
Cd 0.0000 0.5000 0.2500  4 Tl 2.88
Cd 0.0000 0.5000 0.7500  4 Tl 2.88
Cd 0.2500 0.0000 0.5000  4 Tl 2.88
Cd 0.5000 0.2500 0.0000  4 Tl 2.88
Cd 0.5000 0.7500 0.0000  4 Tl 2.88
Cd 0.7500 0.0000 0.5000  4 Tl 2.88
Sn 0.0000 0.0000 0.0000  12 Cd 4.55, 12 Tl 4.55
Sn 0.5000 0.5000 0.5000  12 Cd 4.55, 12 Tl 4.55

Energy of formation ... 343 kJ/mol of formula units
Space group ... No. 223

---

DFT (PBE) results for TlCdSn after structural relaxation.

Cell: 5.1003 5.1003 5.1003 Å, 60.00 60.00 60.00°
With the nearest neighbours (Å) after each atom.
Fractional positions:
Tl 0.0000 0.0000 0.0000  4 Sn 3.12
Cd 0.5000 0.5000 0.5000  4 Sn 3.12
Sn 0.7500 0.7500 0.7500  4 Cd 3.12, 4 Tl 3.12

Energy of formation ... 34 kJ/mol of formula units
Space group ... No. 216

---

DFT (PBE) results for Tl12CdSn6 after structural relaxation.

Cell: 8.8652 8.8652 8.8652 Å, 106.08 106.08 106.08°
With the nearest neighbours (Å) after each atom.
Fractional positions:
Tl 0.0559 0.0630 0.6957  3 Tl 3.10-3.23, 3 Sn 3.27-3.46
Tl 0.0630 0.6957 0.0559  3 Tl 3.10-3.23, 3 Sn 3.27-3.46
Tl 0.2325 0.7586 0.4974  4 Sn 3.40-3.79, 6 Tl 3.58-3.75, 1 Cd 3.73
Tl 0.2414 0.5026 0.7675  4 Sn 3.40-3.79, 6 Tl 3.58-3.75, 1 Cd 3.73
Tl 0.3043 0.9441 0.9370  3 Tl 3.10-3.23, 3 Sn 3.27-3.46
Tl 0.4974 0.2325 0.7586  4 Sn 3.40-3.79, 6 Tl 3.58-3.75, 1 Cd 3.73
Tl 0.5026 0.7675 0.2414  4 Sn 3.40-3.79, 6 Tl 3.58-3.75, 1 Cd 3.73
Tl 0.6957 0.0559 0.0630  3 Tl 3.10-3.23, 3 Sn 3.27-3.46
Tl 0.7586 0.4974 0.2325  4 Sn 3.40-3.79, 6 Tl 3.58-3.75, 1 Cd 3.73
Tl 0.7675 0.2414 0.5026  4 Sn 3.40-3.79, 6 Tl 3.58-3.75, 1 Cd 3.73
Tl 0.9370 0.3043 0.9441  3 Tl 3.10-3.23, 3 Sn 3.27-3.46
Tl 0.9441 0.9370 0.3043  3 Tl 3.10-3.23, 3 Sn 3.27-3.46
Cd 0.5000 0.5000 0.5000  6 Sn 3.10
Sn 0.1071 0.3285 0.3335  1 Cd 3.10, 2 Sn 3.17, 5 Tl 3.27-3.46
Sn 0.3285 0.3335 0.1071  1 Cd 3.10, 2 Sn 3.17, 5 Tl 3.27-3.46
Sn 0.3335 0.1071 0.3285  1 Cd 3.10, 2 Sn 3.17, 5 Tl 3.27-3.46
Sn 0.6665 0.8929 0.6715  1 Cd 3.10, 2 Sn 3.17, 5 Tl 3.27-3.46
Sn 0.6715 0.6665 0.8929  1 Cd 3.10, 2 Sn 3.17, 5 Tl 3.27-3.46
Sn 0.8929 0.6715 0.6665  1 Cd 3.10, 2 Sn 3.17, 5 Tl 3.27-3.46

Energy of formation ... 113 kJ/mol of formula units
Space group ... No. 148

---

DFT (PBE) results for Tl2CdSn after structural relaxation.

Cell: 6.8836 6.8836 6.8836 Å, 102.34 102.34 124.94°
With the nearest neighbours (Å) after each atom.
Fractional positions:
Tl 0.1216 0.6250 0.9966  2 Cd 3.13, 2 Sn 3.17, 2 Tl 3.18
Tl 0.3750 0.3716 0.4966  2 Cd 3.13, 2 Sn 3.17, 2 Tl 3.18
Tl 0.6284 0.1250 0.0034  2 Cd 3.13, 2 Sn 3.17, 2 Tl 3.18
Tl 0.8750 0.8784 0.5034  2 Cd 3.13, 2 Sn 3.17, 2 Tl 3.18
Cd 0.0000 0.0000 0.0000  4 Tl 3.13, 2 Sn 3.18
Cd 0.7500 0.2500 0.5000  4 Tl 3.13, 2 Sn 3.18
Sn 0.2500 0.7500 0.5000  4 Tl 3.17, 2 Cd 3.18
Sn 0.5000 0.5000 0.0000  4 Tl 3.17, 2 Cd 3.18

Energy of formation ... 52 kJ/mol of formula units
Space group ... No. 122

---

DFT (PBE) results for TlCdSn6 after structural relaxation.

Cell: 7.1084 7.1084 6.2957 Å, 115.93 115.93 102.23°
With the nearest neighbours (Å) after each atom.
Fractional positions:
Tl 0.0000 0.0000 0.0000  2 Cd 3.15, 4 Sn 3.32
Cd 0.0000 0.0000 0.5000  4 Sn 3.07, 2 Tl 3.15
Sn 0.0127 0.4868 0.7500  1 Cd 3.07, 4 Sn 3.16-3.21, 1 Tl 3.32
Sn 0.4868 0.0127 0.7500  1 Cd 3.07, 4 Sn 3.16-3.21, 1 Tl 3.32
Sn 0.4978 0.4978 0.7462  6 Sn 3.13-3.47
Sn 0.5022 0.5022 0.2538  6 Sn 3.13-3.47
Sn 0.5132 0.9873 0.2500  1 Cd 3.07, 4 Sn 3.16-3.21, 1 Tl 3.32
Sn 0.9873 0.5132 0.2500  1 Cd 3.07, 4 Sn 3.16-3.21, 1 Tl 3.32

Energy of formation ... 47 kJ/mol of formula units
Space group ... No. 12

---

DFT (PBE) results for Tl8Cd2Sn after structural relaxation.

Cell: 8.3390 8.3390 5.6322 Å, 101.93 101.93 72.43°
With the nearest neighbours (Å) after each atom.
Fractional positions:
Tl 0.1130 0.1130 0.8064  8 Tl 3.35-3.66, 1 Cd 3.35
Tl 0.1510 0.6945 0.7095  1 Sn 3.20, 1 Cd 3.21, 4 Tl 3.24-3.52
Tl 0.2562 0.2562 0.3954  2 Cd 3.18-3.19, 1 Sn 3.18, 4 Tl 3.24-3.38
Tl 0.3055 0.8490 0.2905  1 Sn 3.20, 1 Cd 3.21, 4 Tl 3.24-3.52
Tl 0.6945 0.1510 0.7095  1 Sn 3.20, 1 Cd 3.21, 4 Tl 3.24-3.52
Tl 0.7438 0.7438 0.6046  2 Cd 3.18-3.19, 1 Sn 3.18, 4 Tl 3.24-3.38
Tl 0.8490 0.3055 0.2905  1 Sn 3.20, 1 Cd 3.21, 4 Tl 3.24-3.52
Tl 0.8870 0.8870 0.1936  8 Tl 3.35-3.66, 1 Cd 3.35
Cd 0.3707 0.3707 0.9670  1 Sn 3.06, 5 Tl 3.18-3.35, 1 Cd 3.40
Cd 0.6293 0.6293 0.0330  1 Sn 3.06, 5 Tl 3.18-3.35, 1 Cd 3.40
Sn 0.5000 0.5000 0.5000  2 Cd 3.06, 6 Tl 3.18-3.20

Energy of formation ... 113 kJ/mol of formula units
Space group ... No. 12

---

DFT (PBE) results for Tl2CdSn after structural relaxation.

Cell: 5.7687 6.4946 6.8933 Å, 87.55 89.32 64.59°
With the nearest neighbours (Å) after each atom.
Fractional positions:
Tl 0.1251 0.2508 0.3823  2 Cd 3.27-3.30, 3 Sn 3.29-3.47, 4 Tl 3.40-3.66
Tl 0.2429 0.0144 0.8443  4 Cd 3.40-3.52, 5 Tl 3.42-3.66, 2 Sn 3.55-3.62
Tl 0.7571 0.9856 0.1557  4 Cd 3.40-3.52, 5 Tl 3.42-3.66, 2 Sn 3.55-3.62
Tl 0.8749 0.7492 0.6177  2 Cd 3.27-3.30, 3 Sn 3.29-3.47, 4 Tl 3.40-3.66
Cd 0.2455 0.5036 0.0000  2 Cd 2.85-2.92, 2 Sn 3.06-3.07
Cd 0.7545 0.4964 0.0000  2 Cd 2.85-2.92, 2 Sn 3.06-3.07
Sn 0.4031 0.6930 0.3485  1 Sn 3.02, 2 Cd 3.06-3.07, 1 Tl 3.29
Sn 0.5969 0.3070 0.6515  1 Sn 3.02, 2 Cd 3.06-3.07, 1 Tl 3.29

Energy of formation ... 11 kJ/mol of formula units
Space group ... No. 2

---

DFT (PBE) results for TlCdSn after structural relaxation.

Cell: 3.2207 5.5668 9.4043 Å, 86.90 86.24 79.65°
With the nearest neighbours (Å) after each atom.
Fractional positions:
Tl 0.2311 0.2393 0.0980  4 Tl 3.22-3.50, 4 Sn 3.34-3.56, 2 Cd 3.46
Tl 0.7689 0.7607 0.9020  4 Tl 3.22-3.50, 4 Sn 3.34-3.56, 2 Cd 3.46
Cd 0.3310 0.7560 0.5758  4 Sn 3.12-3.28, 5 Cd 3.22-3.44, 2 Tl 3.46
Cd 0.6690 0.2440 0.4242  4 Sn 3.12-3.28, 5 Cd 3.22-3.44, 2 Tl 3.46
Sn 0.1350 0.2567 0.7224  4 Cd 3.12-3.28, 2 Sn 3.22, 1 Tl 3.34
Sn 0.8650 0.7433 0.2776  4 Cd 3.12-3.28, 2 Sn 3.22, 1 Tl 3.34

Energy of formation ... 9 kJ/mol of formula units
Space group ... No. 2

---

Calculated spin magnetization in order - 0.0, 0.0, 0.0, 0.0, 0.0, 0.0, 0.0, 0.0, 0.0, 0.0, 0.0 μB per formula unit